No. 1
Density functional theory data (PBE-GGA) for crystalline ZrIn2Ag2 at its relaxed geometry.

a = 4.065 Å, b = 4.065 Å, c = 13.216 Å
α = 90.00°, β = 90.00°, γ = 90.00°
Space group I4/mmm (No. 139)
Symmetry-distinct sites (fractional):
Zr1 0.000 0.000 0.000
In1 0.000 0.000 0.397
Ag1 0.000 0.500 0.250

Energy of formation, eV per atom: 0.06
VASP energy, eV/atom: -3.8818

=====

No. 2
Density functional theory data (PBE-GGA) for crystalline Zr2In4Ag at its relaxed geometry.

a = 13.839 Å, b = 13.839 Å, c = 13.839 Å
α = 90.00°, β = 90.00°, γ = 90.00°
Space group Fd-3m (No. 227, origin choice 2)
Symmetry-distinct sites (fractional):
Zr1 0.041 0.041 0.209
In1 0.000 0.000 0.000
In2 0.092 0.375 0.875
Ag1 0.000 0.000 0.500

Energy of formation, eV per atom: -0.07
VASP energy, eV/atom: -4.4796

=====

No. 3
Density functional theory data (PBE-GGA) for crystalline ZrIn2Ag at its relaxed geometry.

a = 7.020 Å, b = 7.020 Å, c = 7.020 Å
α = 90.00°, β = 90.00°, γ = 90.00°
Space group Fm-3m (No. 225)
Symmetry-distinct sites (fractional):
Zr1 0.000 0.000 0.000
In1 0.250 0.250 0.250
Ag1 0.000 0.000 0.500

Energy of formation, eV per atom: 0.02
VASP energy, eV/atom: -4.2022

=====

No. 4
Density functional theory data (PBE-GGA) for crystalline Zr2InAg at its relaxed geometry.

a = 10.628 Å, b = 3.100 Å, c = 5.329 Å
α = 90.00°, β = 100.46°, γ = 90.00°
Space group C2/m (No. 12)
Symmetry-distinct sites (fractional):
Zr1 0.249 0.000 0.255
In1 0.000 0.000 0.500
Ag1 0.000 0.500 0.000

Energy of formation, eV per atom: -0.05
VASP energy, eV/atom: -5.7248

=====

No. 5
Density functional theory data (PBE-GGA) for crystalline Zr2InAg at its relaxed geometry.

a = 3.1414 Å, b = 3.1414 Å, c = 30.5620 Å
α = 90.00°, β = 90.00°, γ = 120.00°
Space group R-3m (No. 166, hexagonal axes)
Symmetry-distinct sites (fractional):
Zr1 0.0000 0.0000 0.2473
In1 0.0000 0.0000 0.0000
Ag1 0.0000 0.0000 0.5000

Energy of formation, eV per atom: 0.00
VASP energy, eV/atom: -5.6689

=====

No. 6
Density functional theory data (PBE-GGA) for crystalline ZrIn2Ag at its relaxed geometry.

a = 4.618 Å, b = 4.618 Å, c = 8.160 Å
α = 90.00°, β = 90.00°, γ = 90.00°
Space group I4/mmm (No. 139)
Symmetry-distinct sites (fractional):
Zr1 0.000 0.000 0.000
In1 0.000 0.500 0.250
Ag1 0.000 0.000 0.500

Energy of formation, eV per atom: 0.01
VASP energy, eV/atom: -4.2050

=====

No. 7
Density functional theory data (PBE-GGA) for crystalline Zr2InAg at its relaxed geometry.

a = 3.044 Å, b = 5.145 Å, c = 12.004 Å
α = 90.00°, β = 90.00°, γ = 90.00°
Space group Immm (No. 71)
Symmetry-distinct sites (fractional):
Zr1 0.000 0.000 0.249
In1 0.000 0.000 0.500
Ag1 0.000 0.000 0.000

Energy of formation, eV per atom: 0.39
VASP energy, eV/atom: -5.2770

=====

No. 8
Density functional theory data (PBE-GGA) for crystalline Zr5In4Ag at its relaxed geometry.

a = 3.146 Å, b = 3.146 Å, c = 21.932 Å
α = 90.00°, β = 90.00°, γ = 90.00°
Space group P4/mmm (No. 123)
Symmetry-distinct sites (fractional):
Zr1 0.000 0.000 0.000
Zr2 0.000 0.000 0.204
Zr3 0.000 0.000 0.406
In1 0.500 0.500 0.102
In2 0.500 0.500 0.305
Ag1 0.500 0.500 0.500

Energy of formation, eV per atom: -0.26
VASP energy, eV/atom: -5.9165